8
Lattice="3.6470 0.0000 0.0000 -1.8235 3.1584 0.0000 0.0000 0.0000 13.8186" Properties=species:S:1:pos:R:3 comment="Er3NbTe2C2 (PBE-GGA, relaxed)" magmom_total_mub_per_cell=0.00 crystal_system=trigonal dft_energy_ha_per_atom=-0.24919 spacegroup=P3m1 pbc="T T T"
C 0.0000 2.1056 6.9710
C 0.0000 2.1056 13.5894
Er 1.8235 1.0528 1.1343
Er 1.8235 1.0528 5.6412
Er 0.0000 0.0000 8.2441
Nb 0.0000 0.0000 12.6116
Te 0.0000 0.0000 3.3789
Te 1.8235 1.0528 10.6132